# 1
LiTbIn4Pd2, relaxed, DFT PBE; SG = R-3m, No. 166; mass density = 8.461 Mg/m³; V = 164 Å³/cell; formation energy from the elements = -0.473 eV per atom; E_tot = -3.958 eV per atom
1.0
2.3170 1.3377 8.8442
-2.3170 1.3377 8.8442
0.0000 -2.6754 8.8442
Li Tb In Pd
1 1 4 2
direct
0.0000 0.0000 0.0000
0.5000 0.5000 0.5000
0.1067 0.1067 0.1067
0.3709 0.3709 0.3709
0.6291 0.6291 0.6291
0.8933 0.8933 0.8933
0.2621 0.2621 0.2621
0.7379 0.7379 0.7379

---

# 2
NdGdBiPd, relaxed, DFT PBE; SG = F-43m, No. 216; mass density = 9.581 Mg/m³; V = 107 Å³/cell; formation energy from the elements = -0.678 eV per atom; E_tot = -7.658 eV per atom
1.0
0.0000 3.7671 3.7671
3.7671 0.0000 3.7671
3.7671 3.7671 0.0000
Nd Gd Bi Pd
1 1 1 1
direct
0.0000 0.0000 0.0000
0.5000 0.5000 0.5000
0.7500 0.7500 0.7500
0.2500 0.2500 0.2500

---

# 3
Cs3Hg6Pb, relaxed, DFT PBE; SG = R-3m, No. 166; mass density = 7.244 Mg/m³; V = 415 Å³/cell; formation energy from the elements = -0.226 eV per atom; E_tot = -1.034 eV per atom
1.0
7.3063 4.2183 2.2429
-7.3063 4.2183 2.2429
0.0000 -8.4366 2.2429
Cs Hg Pb
3 6 1
direct
0.0000 0.5000 0.5000
0.5000 0.0000 0.5000
0.5000 0.5000 0.0000
0.0672 0.0672 0.3392
0.0672 0.3392 0.0672
0.3392 0.0672 0.0672
0.6608 0.9328 0.9328
0.9328 0.6608 0.9328
0.9328 0.9328 0.6608
0.5000 0.5000 0.5000

---

# 4
DyAl4NiPd2, relaxed, DFT PBE; SG = R-3m, No. 166; mass density = 6.708 Mg/m³; V = 134 Å³/cell; formation energy from the elements = -0.700 eV per atom; E_tot = -5.167 eV per atom
1.0
2.1133 1.2201 8.6714
-2.1133 1.2201 8.6714
0.0000 -2.4402 8.6714
Dy Al Ni Pd
1 4 1 2
direct
0.0000 0.0000 0.0000
0.1360 0.1360 0.1360
0.4050 0.4050 0.4050
0.5950 0.5950 0.5950
0.8640 0.8640 0.8640
0.5000 0.5000 0.5000
0.2382 0.2382 0.2382
0.7618 0.7618 0.7618

---

# 5
Ta3AgMo, relaxed, DFT PBE; SG = Pm-3m, No. 221; mass density = 10.985 Mg/m³; V = 113 Å³/cell; formation energy from the elements = 1.448 eV per atom; E_tot = -8.400 eV per atom
1.0
4.8327 0.0000 0.0000
0.0000 4.8327 0.0000
0.0000 0.0000 4.8327
Ta Ag Mo
3 1 1
direct
0.0000 0.0000 0.5000
0.0000 0.5000 0.0000
0.5000 0.0000 0.0000
0.5000 0.5000 0.5000
0.0000 0.0000 0.0000

---

# 6
SrLiTbAu, relaxed, DFT PBE; SG = F-43m, No. 216; mass density = 7.077 Mg/m³; V = 106 Å³/cell; formation energy from the elements = -0.302 eV per atom; E_tot = -3.177 eV per atom
1.0
0.0000 3.7526 3.7526
3.7526 0.0000 3.7526
3.7526 3.7526 0.0000
Sr Li Tb Au
1 1 1 1
direct
0.0000 0.0000 0.0000
0.2500 0.2500 0.2500
0.5000 0.5000 0.5000
0.7500 0.7500 0.7500

---

formation energy from the elements of number 6 (SrLiTbAu)? -0.302 eV per atom

---

What is the formula in the second record? NdGdBiPd